[1]
Below is a crystal of LiCuMo2 relaxed with PBEsol, with properties calculated at the meta-GGA SCAN level.

Values from the calculation:
- DFT formation energy: 0.398 eV per atom
- Fermi-level density of states: 0.741 states/eV/atom
- Polymorph energy (0 for the lowest one): 0.0586 eV per atom

a b c (Å): 3.204 4.328 7.863
angles (deg): 90.00 90.00 90.00
Space group Imm2 (No. 44)
One atom of each set of equivalent atoms:
Li 0.000 0.000 0.000
Cu 0.000 0.500 0.270
Mo 0.000 0.000 0.504
Mo 0.000 0.500 0.770

---

[2]
Below is a crystal of InHg3 relaxed with PBEsol, with properties calculated at the meta-GGA SCAN level.

Values from the calculation:
- DFT formation energy: 0.019 eV per atom
- Fermi-level density of states: 0.288 states/eV/atom

a b c (Å): 6.5623 6.5623 15.2856
angles (deg): 90.00 90.00 120.00
Space group P6_3/mmc (No. 194)
One atom of each set of equivalent atoms:
In 0.0000 0.0000 0.2500
In 0.3333 0.6667 0.0832
Hg 0.0033 0.5017 0.7500
Hg 0.1665 0.3331 0.5831

---

[3]
Below is a crystal of Bi2AsS relaxed with PBEsol, with properties calculated at the meta-GGA SCAN level.

Values from the calculation:
- ΔE_f (raw): 0.210 eV per atom
- Fermi-level density of states: 0.321 states/eV/atom

a b c (Å): 7.147 7.147 7.147
angles (deg): 90.00 90.00 90.00
Space group Fm-3m (No. 225)
One atom of each set of equivalent atoms:
Bi 0.250 0.250 0.250
As 0.000 0.000 0.000
S 0.000 0.000 0.500

---

[4]
Below is a crystal of ZrGe2Os relaxed with PBEsol, with properties calculated at the meta-GGA SCAN level.

Values from the calculation:
- DFT formation energy: -0.156 eV per atom
- Fermi-level density of states: 1.001 states/eV/atom

a b c (Å): 6.330 6.330 6.330
angles (deg): 90.00 90.00 90.00
Space group Fm-3m (No. 225)
One atom of each set of equivalent atoms:
Zr 0.000 0.000 0.000
Ge 0.250 0.250 0.250
Os 0.000 0.000 0.500

---

[5]
Below is a crystal of PrTm3S6 relaxed with PBEsol, with properties calculated at the meta-GGA SCAN level.

Values from the calculation:
- ΔE_f (raw): -2.380 eV per atom

a b c (Å): 10.834 3.901 11.132
angles (deg): 90.00 108.93 90.00
Space group P2_1/m (No. 11)
One atom of each set of equivalent atoms:
Pr 0.051 0.250 0.197
Tm 0.160 0.250 0.587
Tm 0.321 0.750 0.999
Tm 0.443 0.250 0.333
S 0.084 0.750 0.407
S 0.121 0.250 0.964
S 0.198 0.750 0.749
S 0.267 0.750 0.229
S 0.393 0.250 0.556
S 0.481 0.250 0.113

---

[6]
Below is a crystal of LaAs2Ir2 relaxed with PBEsol, with properties calculated at the meta-GGA SCAN level.

Values from the calculation:
- DFT formation energy: -0.988 eV per atom
- Fermi-level density of states: 0.419 states/eV/atom

a b c (Å): 4.275 4.275 10.020
angles (deg): 90.00 90.00 90.00
Space group P4/nmm (No. 129, origin choice 2)
One atom of each set of equivalent atoms:
La 0.250 0.250 0.246
As 0.250 0.250 0.638
As 0.250 0.750 0.000
Ir 0.250 0.250 0.881
Ir 0.250 0.750 0.500

---

[7]
Below is a crystal of CoAg2W relaxed with PBEsol, with properties calculated at the meta-GGA SCAN level.

Values from the calculation:
- DFT formation energy: 0.585 eV per atom
- Fermi-level density of states: 0.712 states/eV/atom
- Polymorph energy (0 for the lowest one): 0.0000 eV per atom

a b c (Å): 2.7279 2.7279 27.6961
angles (deg): 90.00 90.00 120.00
Space group R-3m (No. 166, hexagonal axes)
One atom of each set of equivalent atoms:
Co 0.0000 0.0000 0.0000
Ag 0.0000 0.0000 0.2545
W 0.0000 0.0000 0.5000

---

[8]
Below is a crystal of Y2PtPb relaxed with PBEsol, with properties calculated at the meta-GGA SCAN level.

Values from the calculation:
- DFT formation energy: -1.091 eV per atom
- Fermi-level density of states: 0.500 states/eV/atom

a b c (Å): 4.392 3.968 11.248
angles (deg): 90.00 90.00 90.00
Space group Amm2 (No. 38)
One atom of each set of equivalent atoms:
Y 0.000 0.000 0.000
Y 0.500 0.000 0.290
Pt 0.500 0.000 0.544
Pb 0.000 0.000 0.720

---

[9]
Below is a crystal of ScAlIn2 relaxed with PBEsol, with properties calculated at the meta-GGA SCAN level.

Values from the calculation:
- DFT formation energy: -0.397 eV per atom
- Fermi-level density of states: 0.406 states/eV/atom

a b c (Å): 4.314 4.314 4.327
angles (deg): 90.00 90.00 90.00
Space group P4/mmm (No. 123)
One atom of each set of equivalent atoms:
Sc 0.000 0.000 0.000
Al 0.500 0.500 0.000
In 0.000 0.500 0.500

---

[10]
Below is a crystal of Cd2NiCl relaxed with PBEsol, with properties calculated at the meta-GGA SCAN level.

Values from the calculation:
- ΔE_f (raw): -0.210 eV per atom
- Fermi-level density of states: 0.396 states/eV/atom
- Polymorph energy (0 for the lowest one): 0.0000 eV per atom

a b c (Å): 3.098 3.090 7.662
angles (deg): 90.00 90.06 90.00
Space group P2/m (No. 10)
One atom of each set of equivalent atoms:
Cd 0.001 0.000 0.207
Ni 0.500 0.500 0.000
Cl 0.000 0.500 0.500

---

[11]
Below is a crystal of Ca3BI3N2 relaxed with PBEsol, with properties calculated at the meta-GGA SCAN level.

Values from the calculation:
- ΔE_f (raw): -1.614 eV per atom
- Fermi-level density of states: 0.000 states/eV/atom

a b c (Å): 16.5395 16.5395 12.3522
angles (deg): 90.00 90.00 120.00
Space group R32 (No. 155, hexagonal axes)
One atom of each set of equivalent atoms:
Ca 0.0000 0.5139 0.0000
Ca 0.0000 0.7227 0.0000
Ca 0.0639 0.9114 0.6775
B 0.0000 0.0000 0.5000
B 0.0000 0.7641 0.5000
I 0.0000 0.2275 0.5000
I 0.0000 0.5014 0.5000
I 0.0834 0.1797 0.1495
N 0.0000 0.0000 0.3907
N 0.0016 0.7637 0.3915

---

[12]
Below is a crystal of Al2InSbTe relaxed with PBEsol, with properties calculated at the meta-GGA SCAN level.

Values from the calculation:
- ΔE_f (raw): 0.696 eV per atom
- Fermi-level density of states: 0.419 states/eV/atom

a b c (Å): 5.045 5.045 5.776
angles (deg): 90.00 90.00 90.00
Space group P4/mmm (No. 123)
One atom of each set of equivalent atoms:
Al 0.000 0.500 0.000
In 0.000 0.000 0.000
Sb 0.500 0.500 0.500
Te 0.000 0.000 0.500

---

[13]
Below is a crystal of ZrRh2W relaxed with PBEsol, with properties calculated at the meta-GGA SCAN level.

Values from the calculation:
- DFT formation energy: -0.127 eV per atom
- Fermi-level density of states: 1.611 states/eV/atom
- Polymorph energy (0 for the lowest one): 0.2281 eV per atom

a b c (Å): 6.340 6.340 6.340
angles (deg): 90.00 90.00 90.00
Space group Fm-3m (No. 225)
One atom of each set of equivalent atoms:
Zr 0.000 0.000 0.000
Rh 0.250 0.250 0.250
W 0.000 0.000 0.500

---

[14]
Below is a crystal of MgCo3 relaxed with PBEsol, with properties calculated at the meta-GGA SCAN level.

Values from the calculation:
- DFT formation energy: 0.079 eV per atom
- Fermi-level density of states: 0.452 states/eV/atom

a b c (Å): 2.782 2.782 6.204
angles (deg): 90.00 90.00 90.00
Space group P4/mmm (No. 123)
One atom of each set of equivalent atoms:
Mg 0.000 0.000 0.000
Co 0.000 0.000 0.500
Co 0.500 0.500 0.284

---

[15]
Below is a crystal of MgCu2P relaxed with PBEsol, with properties calculated at the meta-GGA SCAN level.

Values from the calculation:
- DFT formation energy: 0.079 eV per atom
- Fermi-level density of states: 0.310 states/eV/atom

a b c (Å): 5.246 8.984 2.633
angles (deg): 90.00 120.00 90.00
Space group C2/m (No. 12)
One atom of each set of equivalent atoms:
Mg 0.000 0.000 0.000
Cu 0.250 0.250 0.500
P 0.000 0.500 0.000

---

[16]
Below is a crystal of LaSc2Hg relaxed with PBEsol, with properties calculated at the meta-GGA SCAN level.

Values from the calculation:
- DFT formation energy: -0.222 eV per atom
- Fermi-level density of states: 1.027 states/eV/atom

a b c (Å): 3.450 4.844 6.260
angles (deg): 90.00 104.82 90.00
Space group P2/m (No. 10)
One atom of each set of equivalent atoms:
La 0.000 0.000 0.000
Sc 0.333 0.500 0.725
Hg 0.500 0.000 0.500

---

[17]
Below is a crystal of TlPtBr relaxed with PBEsol, with properties calculated at the meta-GGA SCAN level.

Values from the calculation:
- ΔE_f (raw): 0.011 eV per atom
- Fermi-level density of states: 0.184 states/eV/atom
- Polymorph energy (0 for the lowest one): 0.0000 eV per atom

a b c (Å): 4.0160 4.0160 5.1967
angles (deg): 90.00 90.00 120.00
Space group P3m1 (No. 156)
One atom of each set of equivalent atoms:
Tl 0.0000 0.0000 0.0000
Pt 0.6667 0.3333 0.2498
Br 0.3333 0.6667 0.5333

---

[18]
Below is a crystal of ZnTePb relaxed with PBEsol, with properties calculated at the meta-GGA SCAN level.

Values from the calculation:
- ΔE_f (raw): 0.227 eV per atom
- Fermi-level density of states: 0.227 states/eV/atom
- Polymorph energy (0 for the lowest one): 0.0000 eV per atom

a b c (Å): 7.245 7.245 7.245
angles (deg): 90.00 90.00 90.00
Space group F-43m (No. 216)
One atom of each set of equivalent atoms:
Zn 0.000 0.000 0.000
Te 0.250 0.250 0.250
Pb 0.000 0.000 0.500

---

[19]
Below is a crystal of MoP3 relaxed with PBEsol, with properties calculated at the meta-GGA SCAN level.

Values from the calculation:
- DFT formation energy: 0.287 eV per atom
- Fermi-level density of states: 0.499 states/eV/atom
- Polymorph energy (0 for the lowest one): 0.0000 eV per atom

a b c (Å): 3.228 4.391 7.495
angles (deg): 90.00 90.00 90.00
Space group Immm (No. 71)
One atom of each set of equivalent atoms:
Mo 0.000 0.000 0.000
P 0.000 0.000 0.500
P 0.000 0.500 0.218

---

[20]
Below is a crystal of CuRu3Au relaxed with PBEsol, with properties calculated at the meta-GGA SCAN level.

Values from the calculation:
- DFT formation energy: 2.364 eV per atom
- Fermi-level density of states: 1.102 states/eV/atom

a b c (Å): 4.764 4.764 4.764
angles (deg): 90.00 90.00 90.00
Space group Pm-3m (No. 221)
One atom of each set of equivalent atoms:
Cu 0.000 0.000 0.000
Ru 0.000 0.500 0.500
Au 0.500 0.500 0.500

---

[21]
Below is a crystal of CuP2SCl relaxed with PBEsol, with properties calculated at the meta-GGA SCAN level.

Values from the calculation:
- ΔE_f (raw): 0.913 eV per atom
- Fermi-level density of states: 0.793 states/eV/atom

a b c (Å): 4.567 4.567 4.318
angles (deg): 90.00 90.00 90.00
Space group P4/mmm (No. 123)
One atom of each set of equivalent atoms:
Cu 0.000 0.000 0.000
P 0.000 0.500 0.000
S 0.000 0.000 0.500
Cl 0.500 0.500 0.500

---

[22]
Below is a crystal of CaY2P relaxed with PBEsol, with properties calculated at the meta-GGA SCAN level.

Values from the calculation:
- DFT formation energy: -0.613 eV per atom
- Fermi-level density of states: 0.839 states/eV/atom

a b c (Å): 3.484 3.484 9.178
angles (deg): 90.00 90.00 90.00
Space group P4/mmm (No. 123)
One atom of each set of equivalent atoms:
Ca 0.000 0.000 0.000
Y 0.500 0.500 0.332
P 0.000 0.000 0.500

---

[23]
Below is a crystal of Ag2Se relaxed with PBEsol, with properties calculated at the meta-GGA SCAN level.

Values from the calculation:
- ΔE_f (raw): -0.062 eV per atom
- Fermi-level density of states: 0.049 states/eV/atom

a b c (Å): 12.290 12.290 12.290
angles (deg): 90.00 90.00 90.00
Space group Fd-3m (No. 227, origin choice 2)
One atom of each set of equivalent atoms:
Ag 0.000 0.000 0.000
Ag 0.052 0.375 0.875
Se 0.021 0.021 0.229

---

[24]
Below is a crystal of Ni2MoPb relaxed with PBEsol, with properties calculated at the meta-GGA SCAN level.

Values from the calculation:
- DFT formation energy: 0.599 eV per atom
- Fermi-level density of states: 0.904 states/eV/atom

a b c (Å): 6.184 6.184 6.184
angles (deg): 90.00 90.00 90.00
Space group F-43m (No. 216)
One atom of each set of equivalent atoms:
Ni 0.000 0.000 0.000
Ni 0.250 0.250 0.250
Mo 0.250 0.250 0.750
Pb 0.000 0.000 0.500

---

[25]
Below is a crystal of RbIN2F relaxed with PBEsol, with properties calculated at the meta-GGA SCAN level.

Values from the calculation:
- ΔE_f (raw): 0.988 eV per atom
- Fermi-level density of states: 0.216 states/eV/atom
- Polymorph energy (0 for the lowest one): 0.0000 eV per atom

a b c (Å): 5.234 5.234 4.565
angles (deg): 90.00 90.00 90.00
Space group P4/mmm (No. 123)
One atom of each set of equivalent atoms:
Rb 0.000 0.000 0.000
I 0.500 0.500 0.000
N 0.000 0.500 0.500
F 0.500 0.500 0.500

---

no.,spin magnetization (μB per formula unit),uncorrected energy (eV/atom)
1,0.0,-21.442
2,0.0,-59.452
3,0.0,-46.534
4,0.0,-35.344
5,0.0,-28.039
6,0.0,-46.125
7,1.8,-36.847
8,0.0,-51.506
9,0.0,-22.587
10,0.0,-21.455
11,0.0,-19.973
12,0.0,-23.984
13,0.0,-42.109
14,5.1,-14.142
15,0.0,-11.363
16,0.0,-35.159
17,0.0,-53.993
18,0.0,-41.956
19,0.0,-16.234
20,6.8,-35.403
21,0.0,-9.807
22,0.0,-19.550
23,0.0,-27.666
24,1.2,-35.154
25,5.6,-14.933